Ho2TmAl7Ag2 | PBE-GGA | optimized geometry

Summary:
Electronic total energy ... -4.226 eV/atom
Volume ... 19.25 Å³ per atom

Unit cell a=9.3072 b=9.3072 c=9.3072 alpha=34.52 beta=34.52 gamma=34.52
Closest atoms and distances in Å follow each position.
Positions (direct):
Ag: 0.3358 0.3358 0.3358  6 Al 2.69-2.75
Ag: 0.6642 0.6642 0.6642  6 Al 2.69-2.75
Al: 0.5881 0.5881 0.0759  2 Ag 2.69-2.75, 5 Al 2.69-2.83
Al: 0.4119 0.9241 0.4119  2 Ag 2.69-2.75, 5 Al 2.69-2.83
Al: 0.9241 0.4119 0.4119  2 Ag 2.69-2.75, 5 Al 2.69-2.83
Al: 0.5000 0.5000 0.5000  6 Al 2.71
Al: 0.5881 0.0759 0.5881  2 Ag 2.69-2.75, 5 Al 2.69-2.83
Al: 0.0759 0.5881 0.5881  2 Ag 2.69-2.75, 5 Al 2.69-2.83
Al: 0.4119 0.4119 0.9241  2 Ag 2.69-2.75, 5 Al 2.69-2.83
Ho: 0.1424 0.1424 0.1424  12 Al 3.16-3.25, 3 Ho 3.43
Ho: 0.8576 0.8576 0.8576  12 Al 3.16-3.25, 3 Ho 3.43
Tm: 0.0000 0.0000 0.0000  6 Ag 3.19, 12 Al 3.53

=====

HoTm2Al7Ag2 | PBE-GGA | optimized geometry

Summary:
Electronic total energy ... -4.221 eV/atom
Volume ... 19.17 Å³ per atom

Unit cell a=9.2926 b=9.2926 c=9.2926 alpha=34.53 beta=34.53 gamma=34.53
Closest atoms and distances in Å follow each position.
Positions (direct):
Ag: 0.3358 0.3358 0.3358  6 Al 2.69-2.75
Ag: 0.6642 0.6642 0.6642  6 Al 2.69-2.75
Al: 0.5882 0.5882 0.0760  2 Ag 2.69-2.75, 5 Al 2.69-2.83
Al: 0.9240 0.4118 0.4118  2 Ag 2.69-2.75, 5 Al 2.69-2.83
Al: 0.4118 0.9240 0.4118  2 Ag 2.69-2.75, 5 Al 2.69-2.83
Al: 0.5000 0.5000 0.5000  6 Al 2.71
Al: 0.5882 0.0760 0.5882  2 Ag 2.69-2.75, 5 Al 2.69-2.83
Al: 0.0760 0.5882 0.5882  2 Ag 2.69-2.75, 5 Al 2.69-2.83
Al: 0.4118 0.4118 0.9240  2 Ag 2.69-2.75, 5 Al 2.69-2.83
Ho: 0.0000 0.0000 0.0000  6 Ag 3.19, 12 Al 3.53
Tm: 0.1424 0.1424 0.1424  12 Al 3.15-3.25, 3 Tm 3.43
Tm: 0.8576 0.8576 0.8576  12 Al 3.15-3.25, 3 Tm 3.43

=====

AlAgI6 | PBE-GGA | optimized geometry

Summary:
Electronic total energy ... -1.998 eV/atom
Volume ... 41.02 Å³ per atom

Unit cell a=7.7421 b=7.7421 c=7.7421 alpha=60.00 beta=60.00 gamma=60.00
Closest atoms and distances in Å follow each position.
Positions (direct):
Ag: 0.5000 0.5000 0.5000  12 I 3.87
Al: 0.7500 0.7500 0.7500  6 I 2.70
I: 0.5030 0.9970 0.5030  1 Al 2.70
I: 0.9970 0.5030 0.5030  1 Al 2.70
I: 0.9970 0.9970 0.5030  1 Al 2.70
I: 0.5030 0.5030 0.9970  1 Al 2.70
I: 0.9970 0.5030 0.9970  1 Al 2.70
I: 0.5030 0.9970 0.9970  1 Al 2.70

=====

Al2InAg2 | PBE-GGA | optimized geometry

Summary:
Electronic total energy ... -3.063 eV/atom
Volume ... 20.02 Å³ per atom

Unit cell a=6.6071 b=6.6071 c=6.6071 alpha=143.79 beta=143.79 gamma=52.14
Closest atoms and distances in Å follow each position.
Positions (direct):
Ag: 0.7500 0.2500 0.5000  4 Al 2.67, 4 Ag 2.90
Ag: 0.2500 0.7500 0.5000  4 Al 2.67, 4 Ag 2.90
Al: 0.3939 0.3939 0.0000  1 Al 2.52, 4 Ag 2.67
Al: 0.6061 0.6061 0.0000  1 Al 2.52, 4 Ag 2.67
In: 0.0000 0.0000 0.0000  8 Al 3.16

=====

AlInAg | PBE-GGA | optimized geometry

Summary:
Electronic total energy ... -3.043 eV/atom
ΔE to the lowest computed polymorph ... 0.000 eV per atom
Volume ... 21.74 Å³ per atom

Unit cell a=4.5183 b=4.5183 c=4.5183 alpha=60.00 beta=60.00 gamma=60.00
Closest atoms and distances in Å follow each position.
Positions (direct):
Ag: 0.0000 0.0000 0.0000  4 In 2.77, 4 Al 2.77
Al: 0.2500 0.2500 0.2500  4 Ag 2.77
In: 0.7500 0.7500 0.7500  4 Ag 2.77

=====

Li4AlInAg2 | PBE-GGA | optimized geometry

Summary:
Electronic total energy ... -2.740 eV/atom
Volume ... 16.22 Å³ per atom

Unit cell a=4.4981 b=4.4981 c=6.4129 alpha=90.00 beta=90.00 gamma=90.00
Closest atoms and distances in Å follow each position.
Positions (direct):
Ag: 0.5000 0.0000 0.2294  5 Li 2.69-3.01, 2 Al 2.69, 2 In 2.84
Ag: 0.0000 0.5000 0.7706  5 Li 2.69-3.01, 2 Al 2.69, 2 In 2.84
Al: 0.5000 0.5000 0.0000  4 Ag 2.69, 4 Li 2.72
In: 0.0000 0.0000 0.5000  4 Li 2.80, 4 Ag 2.84
Li: 0.0000 0.0000 0.0000  4 Ag 2.69, 4 Li 2.72
Li: 0.0000 0.5000 0.2398  4 Li 2.72-2.80, 2 Al 2.72, 2 In 2.80, 1 Ag 3.01
Li: 0.5000 0.5000 0.5000  4 Li 2.80, 4 Ag 2.84
Li: 0.5000 0.0000 0.7602  4 Li 2.72-2.80, 2 Al 2.72, 2 In 2.80, 1 Ag 3.01

=====

- Look up the volume of the third one.
  41.02 Å³ per atom

=====

Copy entry 3 word for word.
AlAgI6 | PBE-GGA | optimized geometry

Summary:
Electronic total energy ... -1.998 eV/atom
Volume ... 41.02 Å³ per atom

Unit cell a=7.7421 b=7.7421 c=7.7421 alpha=60.00 beta=60.00 gamma=60.00
Closest atoms and distances in Å follow each position.
Positions (direct):
Ag: 0.5000 0.5000 0.5000  12 I 3.87
Al: 0.7500 0.7500 0.7500  6 I 2.70
I: 0.5030 0.9970 0.5030  1 Al 2.70
I: 0.9970 0.5030 0.5030  1 Al 2.70
I: 0.9970 0.9970 0.5030  1 Al 2.70
I: 0.5030 0.5030 0.9970  1 Al 2.70
I: 0.9970 0.5030 0.9970  1 Al 2.70
I: 0.5030 0.9970 0.9970  1 Al 2.70

=====

- volume of number 3 (AlAgI6)?
  41.02 Å³ per atom

=====

- Which of these has the highest volume?
  AlAgI6